5
Lattice="-1.173 4.773 -1.168 -4.383 -0.473 2.466 1.754 1.253 3.357" Properties=species:S:1:pos:R:3 comment="Y2TlCrC GGA-PBE relaxed" formation_energy_mev_per_atom=-254 m_tot_mub_per_fu=2.32 pbc="T T T"
Y -0.586 2.386 -0.584
Y -2.192 -0.237 1.233
C 0.000 0.000 0.000
Tl -1.901 2.776 2.328
Cr 0.877 0.626 1.679


5
Lattice="4.684 0.000 0.000 0.000 4.684 0.000 0.000 0.000 3.879" Properties=species:S:1:pos:R:3 comment="Zr2TlCrC GGA-PBE relaxed" formation_energy_mev_per_atom=-220 m_tot_mub_per_fu=0.00 pbc="T T T"
Zr 2.342 0.000 0.000
Zr 0.000 2.342 0.000
Cr 0.000 0.000 1.939
Tl 2.342 2.342 1.939
C 0.000 0.000 0.000


4
Lattice="-1.848 -0.638 2.485 -1.981 -2.462 -0.094 2.472 -4.125 2.791" Properties=species:S:1:pos:R:3 comment="TmCrC2 GGA-PBE relaxed" formation_energy_mev_per_atom=31 m_tot_mub_per_fu=1.08 pbc="T T T"
Cr 0.000 0.000 0.000
C -0.513 -1.663 1.203
C -0.844 -5.563 3.978
Tm -0.679 -3.613 2.591